1.
CsCrP2O7: relaxed, PBE+U.

Cell and atoms, written as CIF:
```
data_CsCrP2O7
_cell_length_a 7.791
_cell_length_b 10.071
_cell_length_c 8.459
_cell_angle_alpha 90.00
_cell_angle_beta 105.16
_cell_angle_gamma 90.00
_space_group_name_H-M_alt 'P 1 21/c 1'
_space_group_IT_number 14
loop_
_space_group_symop_operation_xyz
'x,y,z'
'-x,-y,-z'
'-x,y+1/2,-z+1/2'
'x,-y+1/2,z+1/2'
loop_
_atom_site_label
_atom_site_fract_x
_atom_site_fract_y
_atom_site_fract_z
Cs1 0.199 0.203 0.042
Cr1 0.242 0.602 0.258
P1 0.127 0.596 0.832
P2 0.422 0.625 0.683
O1 0.020 0.006 0.768
O2 0.091 0.739 0.764
O3 0.154 0.586 0.015
O4 0.311 0.547 0.794
O5 0.320 0.601 0.506
O6 0.391 0.066 0.766
O7 0.434 0.728 0.236
```

Computed properties:
Density of states at the Fermi level in states/eV per cell: 0.00
Calculated total energy in eV per atom: -7.130
ρ in g/cm3: 3.72



2.
CsCrPO4: relaxed, PBE+U.

Cell and atoms, written as CIF:
```
data_CsCrPO4
_cell_length_a 5.394
_cell_length_b 5.814
_cell_length_c 7.880
_cell_angle_alpha 90.00
_cell_angle_beta 108.13
_cell_angle_gamma 90.00
_space_group_name_H-M_alt 'P 1 21/m 1'
_space_group_IT_number 11
loop_
_space_group_symop_operation_xyz
'x,y,z'
'-x,-y,-z'
'-x,y+1/2,-z'
'x,-y+1/2,z'
loop_
_atom_site_label
_atom_site_fract_x
_atom_site_fract_y
_atom_site_fract_z
Cs1 0.200 0.250 0.429
Cr1 0.268 0.250 0.960
P1 0.262 0.750 0.143
O1 0.054 0.750 0.954
O2 0.095 0.750 0.274
O3 0.446 0.537 0.168
```

Computed properties:
Density of states at the Fermi level in states/eV per cell: 0.00
Calculated total energy in eV per atom: -6.858
ρ in g/cm3: 3.96



3.
CsPa2CrO8: relaxed, PBE+U.

Cell and atoms, written as CIF:
```
data_CsPa2CrO8
_cell_length_a 5.182
_cell_length_b 5.600
_cell_length_c 6.978
_cell_angle_alpha 101.86
_cell_angle_beta 93.45
_cell_angle_gamma 103.22
_space_group_name_H-M_alt 'P -1'
_space_group_IT_number 2
loop_
_space_group_symop_operation_xyz
'x,y,z'
'-x,-y,-z'
loop_
_atom_site_label
_atom_site_fract_x
_atom_site_fract_y
_atom_site_fract_z
Cs1 0.000 0.000 0.000
Pa1 0.467 0.592 0.260
Cr1 0.000 0.000 0.500
O1 0.138 0.787 0.343
O2 0.271 0.310 0.433
O3 0.296 0.049 0.697
O4 0.319 0.593 0.952
```

Computed properties:
Calculated total energy in eV per atom: -8.059
ρ in g/cm3: 6.71



4.
Cs4Pa3CrO12: relaxed, PBE+U.

Cell and atoms, written as CIF:
```
data_Cs4Pa3CrO12
_cell_length_a 8.748
_cell_length_b 8.748
_cell_length_c 8.748
_cell_angle_alpha 90.00
_cell_angle_beta 90.00
_cell_angle_gamma 90.00
_space_group_name_H-M_alt 'I m -3 m'
_space_group_IT_number 229
_space_group_name_Hall '-I 4 2 3'
loop_
_atom_site_label
_atom_site_fract_x
_atom_site_fract_y
_atom_site_fract_z
Cs1 0.250 0.250 0.250
Pa1 0.000 0.000 0.500
Cr1 0.000 0.000 0.000
O1 0.000 0.000 0.243
O2 0.000 0.250 0.500
```

Computed properties:
Density of states at the Fermi level in states/eV per cell: 30.00
Calculated total energy in eV per atom: -7.451
ρ in g/cm3: 7.29



5.
Cs2Pa3CrO12: relaxed, PBE+U.

Cell and atoms, written as CIF:
```
data_Cs2Pa3CrO12
_cell_length_a 8.0055
_cell_length_b 8.0055
_cell_length_c 18.5387
_cell_angle_alpha 90.00
_cell_angle_beta 90.00
_cell_angle_gamma 120.00
_space_group_name_H-M_alt 'R -3 m'
_space_group_IT_number 166
_space_group_name_Hall '-R 3 2"'
loop_
_atom_site_label
_atom_site_fract_x
_atom_site_fract_y
_atom_site_fract_z
Cs1 0.0000 0.0000 0.1252
Pa1 0.0000 0.5000 0.0000
Cr1 0.0000 0.0000 0.5000
O1 0.0775 0.5387 0.3623
O2 0.1090 0.2180 0.4438
```

Computed properties:
Density of states at the Fermi level in states/eV per cell: 33.21
Calculated total energy in eV per atom: -7.968
ρ in g/cm3: 5.82



6.
Cs2PaCrO6: relaxed, PBE+U.

Cell and atoms, written as CIF:
```
data_Cs2PaCrO6
_cell_length_a 6.7083
_cell_length_b 6.7083
_cell_length_c 5.5766
_cell_angle_alpha 90.00
_cell_angle_beta 90.00
_cell_angle_gamma 120.00
_space_group_name_H-M_alt 'P -3 m 1'
_space_group_IT_number 164
_space_group_name_Hall '-P 3 2"'
loop_
_atom_site_label
_atom_site_fract_x
_atom_site_fract_y
_atom_site_fract_z
Cs1 0.3333 0.6667 0.1399
Pa1 0.0000 0.0000 0.5000
Cr1 0.0000 0.0000 0.0000
O1 0.1292 0.2584 0.7867
```

Computed properties:
Density of states at the Fermi level in states/eV per cell: 0.04
Calculated total energy in eV per atom: -6.940
ρ in g/cm3: 4.93



Question: Among the records above, which one has the lowest calculated total energy?
Answer: CsPa2CrO8



Question: calculated total energy of number 4 (Cs4Pa3CrO12)?
Answer: -7.451 eV per atom



Question: Which value of calculated total energy does entry 2 give?
Answer: -6.858 eV per atom



Please write out number 4 again, unchanged.
Cs4Pa3CrO12: relaxed, PBE+U.

Cell and atoms, written as CIF:
```
data_Cs4Pa3CrO12
_cell_length_a 8.748
_cell_length_b 8.748
_cell_length_c 8.748
_cell_angle_alpha 90.00
_cell_angle_beta 90.00
_cell_angle_gamma 90.00
_space_group_name_H-M_alt 'I m -3 m'
_space_group_IT_number 229
_space_group_name_Hall '-I 4 2 3'
loop_
_atom_site_label
_atom_site_fract_x
_atom_site_fract_y
_atom_site_fract_z
Cs1 0.250 0.250 0.250
Pa1 0.000 0.000 0.500
Cr1 0.000 0.000 0.000
O1 0.000 0.000 0.243
O2 0.000 0.250 0.500
```

Computed properties:
Density of states at the Fermi level in states/eV per cell: 30.00
Calculated total energy in eV per atom: -7.451
ρ in g/cm3: 7.29